1.
! SCAN SrPtPb2, single point on PBEsol structure; values from VASP
&SYSTEM
  ibrav = 0, nat = 4, ntyp = 3
/
ATOMIC_SPECIES
Pt 195.08 Pt.upf
Pb 207.20 Pb.upf
Sr 87.62 Sr.upf
CELL_PARAMETERS angstrom
-4.135 0.689 1.304
-1.063 -3.967 -1.553
3.813 -0.670 5.192
ATOMIC_POSITIONS angstrom
Pt 0.000 0.000 0.000
Pb -0.161 0.009 3.248
Pb 1.375 -2.318 1.819
Sr -2.599 -1.639 -0.124
! DFT total energy: -245.1 eV/cell
! SG: Fmmm

***

2.
! SCAN TaPtPb2, single point on PBEsol structure; values from VASP
&SYSTEM
  ibrav = 0, nat = 4, ntyp = 3
/
ATOMIC_SPECIES
Pt 195.08 Pt.upf
Pb 207.20 Pb.upf
Ta 180.95 Ta.upf
CELL_PARAMETERS angstrom
-1.194 3.584 3.164
-4.727 1.215 0.677
-2.245 -1.107 4.244
ATOMIC_POSITIONS angstrom
Pt -4.083 1.846 4.042
Pb 0.000 0.000 0.000
Pb -6.125 2.768 6.063
Ta -2.042 0.923 2.021
! DFT total energy: -285.9 eV/cell
! SG: F-43m
! relative energy among the computed polymorphs: 0.75 eV per formula unit

***

3.
! SCAN TaPt2Pb, single point on PBEsol structure; values from VASP
&SYSTEM
  ibrav = 0, nat = 4, ntyp = 3
/
ATOMIC_SPECIES
Pt 195.08 Pt.upf
Pb 207.20 Pb.upf
Ta 180.95 Ta.upf
CELL_PARAMETERS angstrom
-1.402 2.819 1.154
-1.737 1.980 -2.075
-7.901 -2.540 1.481
ATOMIC_POSITIONS angstrom
Pt -8.004 1.861 0.348
Pt -3.036 0.398 0.212
Pb 0.000 0.000 0.000
Ta -5.520 1.130 0.280
! DFT total energy: -284.1 eV/cell
! SG: R-3m

***

4.
! SCAN TaPt2Pb, single point on PBEsol structure; values from VASP
&SYSTEM
  ibrav = 0, nat = 4, ntyp = 3
/
ATOMIC_SPECIES
Ta 180.95 Ta.upf
Pb 207.20 Pb.upf
Pt 195.08 Pt.upf
CELL_PARAMETERS angstrom
3.396 0.000 0.000
-1.698 4.487 -0.003
0.000 -0.904 4.917
ATOMIC_POSITIONS angstrom
Ta 1.698 -0.346 2.851
Pb 1.698 1.995 1.128
Pt 1.698 3.510 4.766
Pt 0.000 1.554 3.541
! DFT total energy: -283.6 eV/cell
! SG: Cm

***

5.
! SCAN TaPtPb2, single point on PBEsol structure; values from VASP
&SYSTEM
  ibrav = 0, nat = 4, ntyp = 3
/
ATOMIC_SPECIES
Pb 207.20 Pb.upf
Ta 180.95 Ta.upf
Pt 195.08 Pt.upf
CELL_PARAMETERS angstrom
3.183 0.000 0.000
1.591 2.756 0.000
1.591 0.919 9.332
ATOMIC_POSITIONS angstrom
Pb 4.774 2.756 6.888
Pb 1.591 0.919 2.444
Ta 0.000 0.000 0.000
Pt 3.183 1.838 4.666
! DFT total energy: -286.5 eV/cell
! SG: R-3m
! relative energy among the computed polymorphs: 0.14 eV per formula unit

***

6.
! SCAN TaPtPb2, single point on PBEsol structure; values from VASP
&SYSTEM
  ibrav = 0, nat = 4, ntyp = 3
/
ATOMIC_SPECIES
Ta 180.95 Ta.upf
Pb 207.20 Pb.upf
Pt 195.08 Pt.upf
CELL_PARAMETERS angstrom
-0.412 3.658 -2.066
1.694 -1.756 -3.446
-4.858 -2.230 1.335
ATOMIC_POSITIONS angstrom
Ta 0.641 0.951 -2.756
Pb -1.262 -1.517 -2.434
Pb -2.315 1.190 -1.744
Pt 0.000 0.000 0.000
! DFT total energy: -286.1 eV/cell
! SG: I4/mmm
! relative energy among the computed polymorphs: 0.54 eV per formula unit

***

7.
! SCAN TaPtPb2, single point on PBEsol structure; values from VASP
&SYSTEM
  ibrav = 0, nat = 4, ntyp = 3
/
ATOMIC_SPECIES
Pb 207.20 Pb.upf
Pt 195.08 Pt.upf
Ta 180.95 Ta.upf
CELL_PARAMETERS angstrom
3.113 0.000 0.000
0.000 3.113 0.000
0.000 0.000 8.467
ATOMIC_POSITIONS angstrom
Pb 0.000 0.000 6.469
Pb 0.000 0.000 1.998
Pt 1.556 1.556 0.000
Ta 1.556 1.556 4.234
! DFT total energy: -286.1 eV/cell
! SG: P4/mmm
! relative energy among the computed polymorphs: 0.54 eV per formula unit

***

8.
! SCAN TaPtPb2, single point on PBEsol structure; values from VASP
&SYSTEM
  ibrav = 0, nat = 4, ntyp = 3
/
ATOMIC_SPECIES
Ta 180.95 Ta.upf
Pb 207.20 Pb.upf
Pt 195.08 Pt.upf
CELL_PARAMETERS angstrom
4.076 0.000 0.000
0.000 4.076 0.000
-2.038 -2.038 4.868
ATOMIC_POSITIONS angstrom
Ta 0.000 2.038 2.434
Pb 0.000 0.000 0.000
Pb 2.038 0.000 2.434
Pt 2.038 2.038 0.000
! DFT total energy: -286.6 eV/cell
! SG: I-4m2
! relative energy among the computed polymorphs: 0.00 eV per formula unit

***

9.
! SCAN Tc2PtPb, single point on PBEsol structure; values from VASP
&SYSTEM
  ibrav = 0, nat = 4, ntyp = 3
/
ATOMIC_SPECIES
Tc 98.00 Tc.upf
Pb 207.20 Pb.upf
Pt 195.08 Pt.upf
CELL_PARAMETERS angstrom
2.975 0.000 0.000
0.000 4.895 0.012
0.000 -1.973 4.480
ATOMIC_POSITIONS angstrom
Tc 0.000 2.448 0.006
Tc 0.000 -0.987 2.240
Pb 1.487 0.000 0.000
Pt 1.487 1.461 2.246
! DFT total energy: -213.8 eV/cell
! SG: Cmmm

***

10.
! SCAN TcPt2Pb, single point on PBEsol structure; values from VASP
&SYSTEM
  ibrav = 0, nat = 4, ntyp = 3
/
ATOMIC_SPECIES
Pt 195.08 Pt.upf
Pb 207.20 Pb.upf
Tc 98.00 Tc.upf
CELL_PARAMETERS angstrom
-2.636 -1.090 -0.264
1.923 -4.636 -0.060
-1.129 1.608 4.619
ATOMIC_POSITIONS angstrom
Pt -0.564 0.804 2.310
Pt 0.962 -2.318 -0.030
Pb -0.921 -2.059 2.147
Tc -1.318 -0.545 -0.132
! DFT total energy: -250.1 eV/cell
! SG: Cmmm

***

11.
! SCAN TcPtPb2, single point on PBEsol structure; values from VASP
&SYSTEM
  ibrav = 0, nat = 4, ntyp = 3
/
ATOMIC_SPECIES
Pb 207.20 Pb.upf
Pt 195.08 Pt.upf
Tc 98.00 Tc.upf
CELL_PARAMETERS angstrom
3.380 0.000 0.000
0.000 4.734 0.000
0.000 -0.356 4.720
ATOMIC_POSITIONS angstrom
Pb 0.000 -0.178 2.360
Pb 0.000 2.367 0.000
Pt 1.690 0.000 0.000
Tc 1.690 2.189 2.360
! DFT total energy: -254.8 eV/cell
! SG: Cmmm

***

12.
! SCAN TePt3Pb, single point on PBEsol structure; values from VASP
&SYSTEM
  ibrav = 0, nat = 5, ntyp = 3
/
ATOMIC_SPECIES
Pt 195.08 Pt.upf
Te 127.60 Te.upf
Pb 207.20 Pb.upf
CELL_PARAMETERS angstrom
-2.282 -4.186 -1.252
0.924 -1.842 4.477
-4.270 1.838 1.637
ATOMIC_POSITIONS angstrom
Pt -1.141 -2.093 -0.626
Pt -2.135 0.919 0.819
Pt 0.462 -0.921 2.239
Te 0.000 0.000 0.000
Pb -2.814 -2.095 2.432
! DFT total energy: -321.4 eV/cell
! SG: Pm-3m
! formation energy (no corrections): 0.438 eV/atom

***

Number 1: density of states at the Fermi level 1.56 states/eV per cell, mass density 10.5 g cm⁻³. Number 2: density of states at the Fermi level 2.70 states/eV per cell, mass density 15.5 g cm⁻³. Number 3: density of states at the Fermi level 1.62 states/eV per cell, mass density 16.2 g cm⁻³. Number 4: density of states at the Fermi level 1.63 states/eV per cell, mass density 17.3 g cm⁻³. Number 5: density of states at the Fermi level 2.31 states/eV per cell, mass density 16.0 g cm⁻³. Number 6: density of states at the Fermi level 3.13 states/eV per cell, mass density 15.9 g cm⁻³. Number 7: density of states at the Fermi level 2.64 states/eV per cell, mass density 16.0 g cm⁻³. Number 8: density of states at the Fermi level 1.80 states/eV per cell, mass density 16.2 g cm⁻³. Number 9: density of states at the Fermi level 5.28 states/eV per cell, mass density 15.2 g cm⁻³. Number 10: density of states at the Fermi level 2.99 states/eV per cell, mass density 17.4 g cm⁻³. Number 11: density of states at the Fermi level 2.71 states/eV per cell, mass density 15.6 g cm⁻³. Number 12: density of states at the Fermi level 1.30 states/eV per cell, mass density 12.8 g cm⁻³.